# ZnSn2SF PBE-GGA relaxed
# crystal system = tetragonal
# E_form (uncorrected) = -0.21 eV per atom
data_ZnSn2SF
_chemical_formula_sum 'Zn1 Sn2 S1 F1'
_cell_length_a 5.073
_cell_length_b 4.461
_cell_length_c 5.073
_cell_angle_alpha 90.00
_cell_angle_beta 90.00
_cell_angle_gamma 90.00
_symmetry_space_group_name_H-M 'P 1'
_symmetry_Int_Tables_number 1
loop_
_symmetry_equiv_pos_as_xyz
'x,y,z'
loop_
_atom_site_label
_atom_site_fract_x
_atom_site_fract_y
_atom_site_fract_z
Sn1 0.000 0.000 0.500
Sn2 0.500 0.000 0.000
S1 0.500 0.500 0.500
Zn1 0.000 0.500 0.000
F1 0.000 0.000 0.000